The following is a PBE calculation of an optimized crystal structure of K3CaPd, from Alexandria via LeMat-Bulk.

Unit cell a=7.1104 b=7.1104 c=7.1104 alpha=90.00 beta=90.00 gamma=90.00
Space group Pm-3m (No. 221)
Unique sites:
K 0.0000 0.0000 0.5000 (multiplicity 3)
Ca 0.0000 0.0000 0.0000 (multiplicity 1)
Pd 0.5000 0.5000 0.5000 (multiplicity 1)

Computed properties:
Total energy = -1.183 eV/atom
Energy of formation = 4.6 eV per formula unit
Mass density = 1.22 Mg/m³
Energy relative to the lowest polymorph listed for this composition = 3.38 eV per formula unit